1.
MnPd8Pt6 | PBE-GGA | optimized geometry

abc: 7.4096 7.4096 5.3480
angles: 90.00 90.00 120.00
Space group P-3 (No. 147)
Asymmetric unit:
Mn  0.0000  0.0000  0.0000 x1
Pd  0.0314  0.6810  0.6048 x6
Pd  0.3333  0.6667  0.2359 x2
Pt  0.0299  0.3518  0.8922 x6

- offset from the most stable computed form (meV per atom) = 10.8
- total magnetic moment (μB/f.u.) = 2.86
- ΔH_f (0 K) (eV per atom) = 0.1374

---

2.
Ba3Sb2 | PBE-GGA | optimized geometry

abc: 5.9368 5.9368 7.4470
angles: 90.00 90.00 120.00
Space group P-3m1 (No. 164)
Asymmetric unit:
Ba  0.0000  0.0000  0.0000 x1
Ba  0.3333  0.6667  0.6945 x2
Sb  0.3333  0.6667  0.2120 x2

- formation energy without anion corrections (eV per atom) = -1.02
- offset from the most stable computed form (meV per atom) = 0.0
- total magnetic moment (μB/f.u.) = 0.00

---

3.
FeMo | PBE-GGA | optimized geometry

abc: 4.755 4.820 9.291
angles: 90.00 90.00 90.00
Space group P2_12_12_1 (No. 19)
Asymmetric unit:
Fe  0.114  0.109  0.225 x4
Fe  0.183  0.381  0.438 x4
Mo  0.125  0.371  0.697 x4
Mo  0.125  0.895  0.489 x4

- total magnetic moment (μB/f.u.) = 0.00
- ΔH_f (0 K) (eV per atom) = 0.1581

---

4.
Th3Ni2Pt | PBE-GGA | optimized geometry

abc: 7.3492 7.3492 18.5051
angles: 90.00 90.00 120.00
Space group R-3c (No. 167, hexagonal axes)
Asymmetric unit:
Th  0.0000  0.3026  0.2500 x18
Ni  0.0000  0.0000  0.1494 x12
Pt  0.0000  0.0000  0.0000 x6

- total magnetic moment (μB/f.u.) = 0.00
- ΔH_f (0 K) (eV per atom) = -0.6016

---

5.
NdPaTcAg | PBE-GGA | optimized geometry

abc: 7.140 7.140 7.140
angles: 90.00 90.00 90.00
Space group F-43m (No. 216)
Asymmetric unit:
Nd  0.000  0.000  0.000 x4
Pa  0.000  0.000  0.500 x4
Tc  0.250  0.250  0.250 x4
Ag  0.250  0.250  0.750 x4

- total magnetic moment (μB/f.u.) = 0.00
- ΔH_f (0 K) (eV per atom) = 0.1276

---

6.
Li2LaAu2 | PBE-GGA | optimized geometry

abc: 4.036 4.036 13.168
angles: 90.00 90.00 90.00
Space group I4/mmm (No. 139)
Asymmetric unit:
Li  0.000  0.500  0.250 x4
La  0.000  0.000  0.000 x2
Au  0.000  0.000  0.388 x4

- offset from the most stable computed form (meV per atom) = 0.0
- total magnetic moment (μB/f.u.) = 0.00
- ΔH_f (0 K) (eV per atom) = -0.6335

---

7.
Ba6HgAs2Br3 | PBE-GGA | optimized geometry

abc: 21.326 4.783 9.901
angles: 90.00 103.53 90.00
Space group C2/m (No. 12)
Asymmetric unit:
Ba  0.010  0.000  0.252 x4
Ba  0.165  0.500  0.110 x4
Ba  0.175  0.500  0.567 x4
Hg  0.000  0.500  0.000 x2
As  0.167  0.000  0.337 x4
Br  0.000  0.500  0.500 x2
Br  0.169  0.000  0.832 x4

- formation energy without anion corrections (eV per atom) = -1.38
- total magnetic moment (μB/f.u.) = 2.22

---

8.
TmHfH4 | PBE-GGA | optimized geometry

abc: 3.386 3.386 5.021
angles: 90.00 90.00 90.00
Space group P4/mmm (No. 123)
Asymmetric unit:
Tm  0.000  0.000  0.000 x1
Hf  0.500  0.500  0.500 x1
H  0.000  0.500  0.271 x4

- raw total energy (eV/atom) = -5.248
- total magnetic moment (μB/f.u.) = 0.00

---

9.
BaHg2Pb2Au2 | PBE-GGA | optimized geometry

abc: 4.8948 4.8948 29.1295
angles: 90.00 90.00 120.00
Space group R-3m (No. 166, hexagonal axes)
Asymmetric unit:
Ba  0.0000  0.0000  0.0000 x3
Hg  0.0000  0.0000  0.2651 x6
Pb  0.0000  0.0000  0.1370 x6
Au  0.0000  0.0000  0.4238 x6

- total magnetic moment (μB/f.u.) = 0.00
- ΔH_f (0 K) (eV per atom) = -0.2687

---

10.
ScCdBr2 | PBE-GGA | optimized geometry

abc: 7.469 7.469 7.469
angles: 90.00 90.00 90.00
Space group F-43m (No. 216)
Asymmetric unit:
Sc  0.000  0.000  0.000 x4
Cd  0.250  0.250  0.750 x4
Br  0.000  0.000  0.500 x4
Br  0.250  0.250  0.250 x4

- formation energy without anion corrections (eV per atom) = -0.24
- offset from the most stable computed form (meV per atom) = 771.3
- total magnetic moment (μB/f.u.) = 0.94

---

Let's list Fermi-level density of states in order: 28.35 0.02 19.46 30.57 27.42 5.53 8.58 1.13 8.05 21.19 states/eV per cell.